Record 1
Density functional theory data (PBE-GGA) for crystalline Tl2AsRhO4 at its relaxed geometry.

```
data_Tl2AsRhO4
_chemical_formula_sum 'Tl2 As1 Rh1 O4'
_space_group_name_H-M_alt 'P 1'
_space_group_IT_number 1
_cell_length_a 5.543
_cell_length_b 6.610
_cell_length_c 7.075
_cell_angle_alpha 133.77
_cell_angle_beta 127.38
_cell_angle_gamma 77.35
loop_
_space_group_symop_operation_xyz
'x,y,z'
loop_
_atom_site_label
_atom_site_type_symbol
_atom_site_fract_x
_atom_site_fract_y
_atom_site_fract_z
O1 O 0.729 0.423 0.169
O2 O 0.821 0.737 0.764
Tl1 Tl 0.365 0.296 0.616
Rh1 Rh 0.918 0.382 0.720
Tl2 Tl 0.530 0.006 0.035
As1 As 0.708 0.736 0.471
O3 O 0.998 0.058 0.721
O4 O 0.319 0.749 0.277
```

## Properties
Formation energy without anion corrections = -593 kJ/mol of formula units
Size of the total moment = 0.0 μB/f.u.
Space group = P1

---

Record 2
Density functional theory data (PBE-GGA) for crystalline Sm2Al6Au9 at its relaxed geometry.

```
data_Sm2Al6Au9
_chemical_formula_sum 'Sm2 Al6 Au9'
_space_group_name_H-M_alt 'P 1'
_space_group_IT_number 1
_cell_length_a 5.796
_cell_length_b 5.796
_cell_length_c 12.250
_cell_angle_alpha 90.00
_cell_angle_beta 90.00
_cell_angle_gamma 120.00
loop_
_space_group_symop_operation_xyz
'x,y,z'
loop_
_atom_site_label
_atom_site_type_symbol
_atom_site_fract_x
_atom_site_fract_y
_atom_site_fract_z
Al1 Al 0.333 0.667 0.665
Al2 Al 0.333 0.667 0.000
Al3 Al 0.333 0.667 0.335
Al4 Al 0.667 0.333 0.665
Au1 Au 0.500 0.000 0.500
Au2 Au 0.500 0.500 0.832
Au3 Au 0.500 0.500 0.168
Sm1 Sm 0.000 0.000 0.324
Sm2 Sm 0.000 0.000 0.676
Al5 Al 0.667 0.333 0.335
Au4 Au 0.000 0.500 0.168
Au5 Au 0.500 0.000 0.832
Au6 Au 0.000 0.500 0.500
Au7 Au 0.500 0.000 0.168
Au8 Au 0.000 0.500 0.832
Au9 Au 0.500 0.500 0.500
Al6 Al 0.667 0.333 0.000
```

## Properties
Size of the total moment = 0.0 μB/f.u.
ΔE_f = -9.97 kcal/mol of atoms
Space group = P6/mmm

---

Record 3
Density functional theory data (PBE-GGA) for crystalline LaRe at its relaxed geometry.

```
data_LaRe
_chemical_formula_sum 'La2 Re2'
_space_group_name_H-M_alt 'P 1'
_space_group_IT_number 1
_cell_length_a 5.009
_cell_length_b 5.009
_cell_length_c 5.943
_cell_angle_alpha 90.00
_cell_angle_beta 90.00
_cell_angle_gamma 120.00
loop_
_space_group_symop_operation_xyz
'x,y,z'
loop_
_atom_site_label
_atom_site_type_symbol
_atom_site_fract_x
_atom_site_fract_y
_atom_site_fract_z
Re1 Re 0.667 0.333 0.250
La1 La 0.333 0.667 0.250
Re2 Re 0.333 0.667 0.750
La2 La 0.667 0.333 0.750
```

## Properties
Energy relative to the lowest polymorph listed for this composition = 1619.4 meV/atom
Size of the total moment = 2.0 μB/f.u.
ΔE_f = 40.84 kcal/mol of atoms
Space group = P6_3/mmc

---

Record 4
Density functional theory data (PBE-GGA) for crystalline HgTe2Se at its relaxed geometry.

```
data_HgTe2Se
_chemical_formula_sum 'Hg1 Te2 Se1'
_space_group_name_H-M_alt 'P 1'
_space_group_IT_number 1
_cell_length_a 4.258
_cell_length_b 4.255
_cell_length_c 6.188
_cell_angle_alpha 90.00
_cell_angle_beta 90.00
_cell_angle_gamma 90.00
loop_
_space_group_symop_operation_xyz
'x,y,z'
loop_
_atom_site_label
_atom_site_type_symbol
_atom_site_fract_x
_atom_site_fract_y
_atom_site_fract_z
Te1 Te 0.000 0.000 0.875
Te2 Te 0.500 0.500 0.375
Hg1 Hg 0.000 0.000 0.375
Se1 Se 0.500 0.500 0.875
```

## Properties
Energy relative to the lowest polymorph listed for this composition = 23.6 meV/atom
Formation energy without anion corrections = 11 kJ/mol of formula units
Size of the total moment = 0.0 μB/f.u.
Space group = P4/mmm

---

Record 5
Density functional theory data (PBE-GGA) for crystalline Sr2Zn5Ga3 at its relaxed geometry.

```
data_Sr2Zn5Ga3
_chemical_formula_sum 'Sr2 Zn5 Ga3'
_space_group_name_H-M_alt 'P 1'
_space_group_IT_number 1
_cell_length_a 4.431
_cell_length_b 4.431
_cell_length_c 10.673
_cell_angle_alpha 90.00
_cell_angle_beta 90.00
_cell_angle_gamma 90.00
loop_
_space_group_symop_operation_xyz
'x,y,z'
loop_
_atom_site_label
_atom_site_type_symbol
_atom_site_fract_x
_atom_site_fract_y
_atom_site_fract_z
Ga1 Ga 0.000 0.000 0.500
Ga2 Ga 0.000 0.500 0.364
Zn1 Zn 0.500 0.500 0.500
Zn2 Zn 0.000 0.500 0.125
Zn3 Zn 0.500 0.000 0.875
Ga3 Ga 0.500 0.000 0.636
Sr1 Sr 0.500 0.000 0.250
Zn4 Zn 0.000 0.000 0.000
Zn5 Zn 0.500 0.500 0.000
Sr2 Sr 0.000 0.500 0.750
```

## Properties
Size of the total moment = 0.0 μB/f.u.
ΔE_f = -6.97 kcal/mol of atoms
Space group = P-4m2

---

Record 6
Density functional theory data (PBE-GGA) for crystalline Pm6Al2Cd at its relaxed geometry.

```
data_Pm6Al2Cd
_chemical_formula_sum 'Pm12 Al4 Cd2'
_space_group_name_H-M_alt 'P 1'
_space_group_IT_number 1
_cell_length_a 8.919
_cell_length_b 8.919
_cell_length_c 8.919
_cell_angle_alpha 105.85
_cell_angle_beta 111.93
_cell_angle_gamma 110.70
loop_
_space_group_symop_operation_xyz
'x,y,z'
loop_
_atom_site_label
_atom_site_type_symbol
_atom_site_fract_x
_atom_site_fract_y
_atom_site_fract_z
Pm1 Pm 0.287 0.609 0.322
Pm2 Pm 0.287 0.965 0.678
Pm3 Pm 0.091 0.272 0.819
Pm4 Pm 0.202 0.247 0.449
Pm5 Pm 0.453 0.272 0.181
Al1 Al 0.500 0.378 0.878
Al2 Al 0.638 0.000 0.638
Pm6 Pm 0.547 0.728 0.819
Pm7 Pm 0.798 0.247 0.045
Cd1 Cd 0.000 0.500 0.500
Pm8 Pm 0.713 0.391 0.678
Al3 Al 0.500 0.622 0.122
Al4 Al 0.362 0.000 0.362
Pm9 Pm 0.713 0.035 0.322
Pm10 Pm 0.798 0.753 0.551
Pm11 Pm 0.202 0.753 0.955
Pm12 Pm 0.909 0.728 0.181
Cd2 Cd 0.000 0.000 0.000
```

## Properties
Energy relative to the lowest polymorph listed for this composition = 0.0 meV/atom
Size of the total moment = 0.0 μB/f.u.
ΔE_f = -4.82 kcal/mol of atoms
Space group = Immm